First-principles (PBE) data for a geometry-optimized Cs4Np3InTe8 structure, as listed in Alexandria via LeMat-Bulk.

a = 9.341 Å, b = 10.315 Å, c = 9.340 Å
α = 116.92°, β = 120.00°, γ = 90.00°
Last column: magnetic moment on the atom in μB.
Fractional coordinates of all 16 atoms:
Cs1 0.500 0.000 0.500  -0.01
Cs2 0.500 0.000 0.000  0.00
Cs3 0.000 0.000 0.500  -0.01
Cs4 0.000 0.000 0.000  -0.01
Np1 0.500 0.500 0.500  3.86
Np2 0.500 0.500 0.000  3.86
Np3 0.000 0.500 0.500  3.86
Te1 0.767 0.315 0.047  -0.07
Te2 0.280 0.315 0.047  -0.07
Te3 0.233 0.685 0.466  -0.07
Te4 0.270 0.311 0.541  -0.08
Te5 0.730 0.689 0.459  -0.08
Te6 0.767 0.315 0.534  -0.07
Te7 0.233 0.685 0.953  -0.07
Te8 0.720 0.685 0.953  -0.07
In1 0.000 0.500 0.000  0.04

Values from the calculation:
Its density of states at the Fermi level is 26.457 states/eV/cell. Its symmetry is No. 166. The value obtained for the volume is 41.5 A^3/atom. The calculation puts the formation energy (no corrections) at -0.82 eV/atom.